Entry 1:
## TbY2Ni2B2C3 (PBE)

Data for an optimized crystal structure of TbY2Ni2B2C3.

Output
As for the energy: -7.384 eV/atom.

```
10
Lattice="-1.7951 1.7951 10.2023 1.7951 -1.7951 10.2023 1.7951 1.7951 -10.2023" Properties=species:S:1:pos:R:3 pbc="T T T"
Tb 0.0000 0.0000 0.0000
Y 0.0000 0.0000 7.6834
Y 0.0000 0.0000 12.7212
Ni 1.7951 0.0000 5.1011
Ni 0.0000 1.7951 5.1011
B 0.0000 0.0000 4.0137
B 0.0000 0.0000 16.3909
C 0.0000 0.0000 2.5296
C 0.0000 0.0000 10.2023
C 0.0000 0.0000 17.8750
```



Entry 2:
## Tm3Ni4B4C3 (PBE)

Data for an optimized crystal structure of Tm3Ni4B4C3.

Output
As for the energy: -6.976 eV/atom.

```
14
Lattice="-1.7589 1.7589 12.7467 1.7589 -1.7589 12.7467 1.7589 1.7589 -12.7467" Properties=species:S:1:pos:R:3 pbc="T T T"
Tm 0.0000 0.0000 0.0000
Tm 0.0000 0.0000 7.6045
Tm 0.0000 0.0000 17.8890
Ni 1.7589 0.0000 2.5765
Ni 1.7589 0.0000 10.1702
Ni 0.0000 1.7589 2.5765
Ni 0.0000 1.7589 10.1702
B 0.0000 0.0000 3.7284
B 0.0000 0.0000 11.2538
B 0.0000 0.0000 14.2397
B 0.0000 0.0000 21.7650
C 0.0000 0.0000 5.2229
C 0.0000 0.0000 12.7467
C 0.0000 0.0000 20.2706
```



Entry 3:
## YNiBC (PBE)

Data for an optimized crystal structure of YNiBC.

Output
As for the energy: -7.502 eV/atom.

```
8
Lattice="3.5870 0.0000 0.0000 0.0000 3.5870 0.0000 0.0000 0.0000 7.5644" Properties=species:S:1:pos:R:3 pbc="T T T"
Y 0.8968 0.8968 1.2523
Y 2.6903 2.6903 6.3121
Ni 0.8968 2.6903 3.7822
Ni 2.6903 0.8968 3.7822
B 0.8968 0.8968 4.8847
B 2.6903 2.6903 2.6797
C 0.8968 0.8968 6.3821
C 2.6903 2.6903 1.1823
```



Entry 4:
## B5Os3C2 (PBE)

Data for an optimized crystal structure of B5Os3C2.

Output
As for the energy: -8.102 eV/atom.

```
10
Lattice="4.0091 -1.9918 0.0000 4.0091 1.9918 0.0000 -1.1450 0.0000 5.9305" Properties=species:S:1:pos:R:3 pbc="T T T"
B 0.0000 0.0000 0.0000
B 3.4078 0.4837 2.0377
B 3.4654 0.4837 3.8927
B 2.2039 -0.6727 1.3541
B 4.6693 -0.6727 4.5764
Os 1.3487 -0.6765 5.0240
Os 3.4366 -1.5085 2.9652
Os 5.5245 -0.6765 0.9064
C 2.3527 1.3944 4.5876
C 4.5205 1.3944 1.3429
```



Entry 5:
## PrBPbC2 (PBE)

Data for an optimized crystal structure of PrBPbC2.

Output
As for the energy: -6.405 eV/atom.

```
5
Lattice="2.8020 -2.8016 0.0000 2.8020 2.8016 0.0000 -2.7219 0.0000 5.4738" Properties=species:S:1:pos:R:3 pbc="T T T"
Pr 0.0000 0.0000 0.0000
B 0.0379 0.0000 3.8578
Pb 2.7979 0.0000 2.1852
C 0.0043 0.0000 2.3853
C 0.0793 0.0000 5.3001
```



Entry 6:
## YTmB2Pd2C2 (PBE)

Data for an optimized crystal structure of YTmB2Pd2C2.

Output
As for the energy: -7.163 eV/atom.

```
8
Lattice="3.7386 0.0000 0.0000 0.0000 3.7386 0.0000 0.0000 0.0000 7.7561" Properties=species:S:1:pos:R:3 pbc="T T T"
Y 0.0000 0.0000 0.0000
Tm 1.8693 1.8693 5.3060
B 0.0000 0.0000 3.9052
B 1.8693 1.8693 1.3782
Pd 0.0000 1.8693 2.6555
Pd 1.8693 0.0000 2.6555
C 0.0000 0.0000 5.3788
C 1.8693 1.8693 7.6580
```



Entry 7:
## Y3B4Pd4C3 (PBE)

Data for an optimized crystal structure of Y3B4Pd4C3.

Output
As for the energy: -7.258 eV/atom.

```
14
Lattice="-1.8843 1.8843 13.1552 1.8843 -1.8843 13.1552 1.8843 1.8843 -13.1552" Properties=species:S:1:pos:R:3 pbc="T T T"
Y 0.0000 0.0000 0.0000
Y 0.0000 0.0000 7.8114
Y 0.0000 0.0000 18.4990
B 0.0000 0.0000 3.9463
B 0.0000 0.0000 11.6757
B 0.0000 0.0000 14.6347
B 0.0000 0.0000 22.3641
Pd 1.8843 0.0000 2.6668
Pd 1.8843 0.0000 10.4884
Pd 0.0000 1.8843 2.6668
Pd 0.0000 1.8843 10.4884
C 0.0000 0.0000 5.4216
C 0.0000 0.0000 13.1552
C 0.0000 0.0000 20.8888
```



Entry 8:
## YB2Pd2C (PBE)

Data for an optimized crystal structure of YB2Pd2C.

Output
As for the energy: -7.058 eV/atom.

```
6
Lattice="-1.8934 1.8934 5.3763 1.8934 -1.8934 5.3763 1.8934 1.8934 -5.3763" Properties=species:S:1:pos:R:3 pbc="T T T"
Y 0.0000 0.0000 0.0000
B 0.0000 0.0000 3.9024
B 0.0000 0.0000 6.8502
Pd 1.8934 0.0000 2.6882
Pd 0.0000 1.8934 2.6882
C 0.0000 0.0000 5.3763
```



Entry 9:
## PrBC (PBE)

Data for an optimized crystal structure of PrBC.

Output
As for the energy: -7.235 eV/atom.

```
60
Lattice="8.5214 0.0000 0.0000 0.0000 8.5597 0.0000 0.0000 0.0000 12.3476" Properties=species:S:1:pos:R:3 pbc="T T T"
Pr 0.4279 0.8370 1.7383
Pr 0.5271 5.9757 7.8149
Pr 1.3563 5.0752 11.1571
Pr 1.3608 8.4866 5.1899
Pr 2.0847 2.4746 8.3179
Pr 2.1760 6.0852 2.1441
Pr 2.8999 0.0732 11.3636
Pr 2.9044 3.4846 4.9833
Pr 3.7336 2.5840 1.6411
Pr 3.8328 7.7228 7.9121
Pr 4.6886 3.4429 10.6093
Pr 4.7877 6.8639 4.5327
Pr 5.6170 7.7644 1.1905
Pr 5.6214 4.3530 7.1577
Pr 6.3454 1.8053 4.0297
Pr 6.4367 6.7544 10.2035
Pr 7.1606 4.2067 0.9839
Pr 7.1651 0.7953 7.3643
Pr 7.9943 1.6959 10.7065
Pr 8.0935 5.1168 4.4355
B 0.1622 7.5987 11.8500
B 0.5194 2.5582 3.9600
B 0.8255 8.3440 9.1481
B 0.9957 3.3993 2.6323
B 1.5640 2.6453 12.2501
B 2.6967 5.9145 6.0763
B 3.2650 5.1605 8.8061
B 3.4352 0.2157 2.9743
B 3.7413 6.0015 10.1338
B 4.0985 0.9610 5.6762
B 4.4229 5.2409 0.4976
B 4.7800 1.7216 8.3876
B 5.0862 4.4956 3.1995
B 5.2563 0.8806 9.7153
B 5.8247 1.6346 0.0975
B 6.9574 6.9251 6.2713
B 7.5257 7.6791 3.5415
B 7.6959 4.0642 9.3732
B 8.0020 6.8381 2.2138
B 8.3592 3.3188 6.6714
C 0.2033 2.6234 5.4137
C 0.4847 7.6220 10.4027
C 1.2268 8.5387 7.7505
C 1.2428 3.3872 1.1539
C 2.0921 2.5565 10.8849
C 2.1686 6.0033 4.7111
C 3.0178 5.1726 7.3277
C 3.0339 0.0211 1.5767
C 3.7760 0.9377 4.2289
C 4.0573 5.9363 11.5875
C 4.4640 1.6565 6.9339
C 4.7454 5.2176 1.9449
C 5.4875 4.3009 4.5971
C 5.5035 0.8927 11.1937
C 6.3528 1.7234 1.4627
C 6.4293 6.8363 7.6365
C 7.2785 7.6670 5.0199
C 7.2946 4.2588 10.7709
C 8.0367 3.3421 8.1187
C 8.3180 6.9033 0.7601
```



Entry 10:
## TbPrBC2 (PBE)

Data for an optimized crystal structure of TbPrBC2.

Output
As for the energy: -7.233 eV/atom.

```
5
Lattice="2.6614 -2.6611 0.0000 2.6614 2.6611 0.0000 -2.5715 0.0000 5.5157" Properties=species:S:1:pos:R:3 pbc="T T T"
Tb 0.0000 0.0000 0.0000
Pr 2.6651 0.0000 2.2904
B 0.0410 0.0000 3.8379
C 0.0098 0.0000 2.3538
C 0.0830 0.0000 5.3283
```



Entry 11:
## PrYBC2 (PBE)

Data for an optimized crystal structure of PrYBC2.

Output
As for the energy: -7.600 eV/atom.

```
5
Lattice="2.6531 -2.6527 0.0000 2.6531 2.6527 0.0000 -2.5649 0.0000 5.5354" Properties=species:S:1:pos:R:3 pbc="T T T"
Pr 0.0000 0.0000 0.0000
Y 2.6557 0.0000 2.2859
B 0.0518 0.0000 3.9804
C 0.0093 0.0000 2.4892
C 0.0821 0.0000 5.4624
```



Entry 12:
## ThB2Pt2C (PBE)

Data for an optimized crystal structure of ThB2Pt2C.

Output
As for the energy: -7.660 eV/atom.

```
6
Lattice="-1.9217 1.9217 5.4617 1.9217 -1.9217 5.4617 1.9217 1.9217 -5.4617" Properties=species:S:1:pos:R:3 pbc="T T T"
Th 0.0000 0.0000 0.0000
B 0.0000 0.0000 3.9685
B 0.0000 0.0000 6.9549
Pt 1.9217 0.0000 2.7309
Pt 0.0000 1.9217 2.7309
C 0.0000 0.0000 5.4617
```



Entry 13:
## Y3B4Pt4C3 (PBE)

Data for an optimized crystal structure of Y3B4Pt4C3.

Output
As for the energy: -7.602 eV/atom.

```
14
Lattice="-1.8958 1.8958 13.1838 1.8958 -1.8958 13.1838 1.8958 1.8958 -13.1838" Properties=species:S:1:pos:R:3 pbc="T T T"
Y 0.0000 0.0000 0.0000
Y 0.0000 0.0000 7.8212
Y 0.0000 0.0000 18.5464
B 0.0000 0.0000 3.9638
B 0.0000 0.0000 11.6982
B 0.0000 0.0000 14.6693
B 0.0000 0.0000 22.4038
Pt 1.8958 0.0000 2.6771
Pt 1.8958 0.0000 10.5067
Pt 0.0000 1.8958 2.6771
Pt 0.0000 1.8958 10.5067
C 0.0000 0.0000 5.4467
C 0.0000 0.0000 13.1838
C 0.0000 0.0000 20.9208
```



Entry 14:
## Sm4B3C4 (PBE)

Data for an optimized crystal structure of Sm4B3C4.

Output
As for the energy: -7.259 eV/atom.

```
11
Lattice="3.7058 0.0000 0.0000 0.0068 3.7265 0.0000 1.6409 0.5998 11.9634" Properties=species:S:1:pos:R:3 pbc="T T T"
Sm 0.7438 1.8820 4.3750
Sm 2.7656 0.5846 10.1250
Sm 2.5878 3.7417 1.8384
Sm 4.6096 2.4443 7.5884
B 0.5771 1.8690 0.5915
B 2.6733 0.2999 5.9817
B 4.7764 2.4573 11.3719
C 0.7334 1.8694 2.0448
C 2.7453 0.5699 7.4354
C 2.6082 3.7564 4.5281
C 4.6201 2.4568 9.9186
```



Entry 15:
## Sm3BC3 (PBE)

Data for an optimized crystal structure of Sm3BC3.

Output
As for the energy: -7.224 eV/atom.

```
14
Lattice="2.6470 -2.6774 0.0000 2.6470 2.6774 0.0000 0.0000 0.0000 16.1110" Properties=species:S:1:pos:R:3 pbc="T T T"
Sm 2.6470 2.2412 9.6599
Sm 2.6470 2.2412 14.5065
Sm 2.6470 0.4646 4.0277
Sm 2.6470 -0.4646 12.0832
Sm 2.6470 -2.2412 1.6044
Sm 2.6470 -2.2412 6.4510
B 2.6470 0.0000 0.0000
B 2.6470 0.0000 8.0555
C 2.6470 2.1319 12.0832
C 2.6470 0.5018 1.3764
C 2.6470 0.5018 6.6791
C 2.6470 -0.5018 9.4319
C 2.6470 -0.5018 14.7346
C 2.6470 -2.1319 4.0277
```



Entry 16:
## TbSmBC2 (PBE)

Data for an optimized crystal structure of TbSmBC2.

Output
As for the energy: -7.283 eV/atom.

```
5
Lattice="2.6160 -2.6157 0.0000 2.6160 2.6157 0.0000 -2.5318 0.0000 5.5016" Properties=species:S:1:pos:R:3 pbc="T T T"
Tb 0.0000 0.0000 0.0000
Sm 0.0819 0.0000 3.2298
B 2.6594 0.0000 1.6429
C 2.6218 0.0000 0.1518
C 2.6923 0.0000 3.1299
```



Entry 17:
## SmYBC2 (PBE)

Data for an optimized crystal structure of SmYBC2.

Output
As for the energy: -7.653 eV/atom.

```
5
Lattice="2.6076 -2.6072 0.0000 2.6076 2.6072 0.0000 -2.5251 0.0000 5.5237" Properties=species:S:1:pos:R:3 pbc="T T T"
Sm 0.0000 0.0000 0.0000
Y 2.6089 0.0000 2.2681
B 0.0447 0.0000 3.9261
C 0.0069 0.0000 2.4323
C 0.0768 0.0000 5.4128
```



Entry 18:
## Tb3BC3 (PBE)

Data for an optimized crystal structure of Tb3BC3.

Output
As for the energy: -7.288 eV/atom.

```
14
Lattice="2.5832 -2.6086 0.0000 2.5832 2.6086 0.0000 0.0000 0.0000 15.9323" Properties=species:S:1:pos:R:3 pbc="T T T"
Tb 2.5832 2.1765 9.5757
Tb 2.5832 2.1765 14.3228
Tb 2.5832 0.4658 3.9831
Tb 2.5832 -0.4658 11.9492
Tb 2.5832 -2.1765 1.6095
Tb 2.5832 -2.1765 6.3566
B 2.5832 0.0000 0.0000
B 2.5832 0.0000 7.9662
C 2.5832 2.0948 11.9492
C 2.5832 0.4911 1.3781
C 2.5832 0.4911 6.5881
C 2.5832 -0.4911 9.3442
C 2.5832 -0.4911 14.5542
C 2.5832 -2.0948 3.9831
```



Entry 19:
## BW6C3 (PBE)

Data for an optimized crystal structure of BW6C3.

Output
As for the energy: -11.174 eV/atom.

```
20
Lattice="8.9991 0.0000 0.0000 0.0000 3.0605 0.0000 -3.0255 0.0000 8.6359" Properties=species:S:1:pos:R:3 pbc="T T T"
B -0.0949 0.7651 1.6543
B 6.0686 2.2954 6.9815
W -0.5393 2.2954 3.3979
W -1.7736 0.7651 8.3249
W -0.4378 2.2954 6.3523
W 1.7234 2.2954 2.0900
W 1.7748 0.7651 4.9239
W 3.9098 0.7651 1.0729
W 2.0638 2.2954 7.5629
W 4.1989 2.2954 3.7120
W 4.2503 0.7651 6.5458
W 6.4115 0.7651 2.2835
W 7.7473 2.2954 0.3109
W 6.5130 0.7651 5.2379
C -0.3253 0.7651 4.9038
C -0.0174 2.2954 8.4512
C 2.8842 0.7651 3.0358
C 3.0895 2.2954 5.6000
C 5.9910 0.7651 0.1846
C 6.2989 2.2954 3.7321
```



Entry 20:
## BW7C5 (PBE)

Data for an optimized crystal structure of BW7C5.

Output
As for the energy: -10.920 eV/atom.

```
26
Lattice="1.5488 -5.0652 0.0000 1.5488 5.0652 0.0000 0.0000 0.0000 18.3475" Properties=species:S:1:pos:R:3 pbc="T T T"
B 1.5488 3.0733 13.7607
B 1.5488 -3.0733 4.5869
W 1.5488 4.1506 11.3479
W 1.5488 4.1506 16.1734
W 1.5488 3.1294 3.2289
W 1.5488 3.1294 5.9448
W 1.5488 1.4807 9.7830
W 1.5488 1.4807 17.7383
W 1.5488 0.3550 4.5869
W 1.5488 -0.3550 13.7607
W 1.5488 -1.4807 0.6092
W 1.5488 -1.4807 8.5646
W 1.5488 -3.1294 12.4027
W 1.5488 -3.1294 15.1186
W 1.5488 -4.1506 2.1741
W 1.5488 -4.1506 6.9997
C 0.0000 0.0000 0.0000
C 0.0000 0.0000 9.1738
C 1.5488 2.2063 1.3660
C 1.5488 2.2063 7.8078
C 1.5488 0.5238 11.8342
C 1.5488 0.5238 15.6871
C 1.5488 -0.5238 2.6604
C 1.5488 -0.5238 6.5134
C 1.5488 -2.2063 10.5397
C 1.5488 -2.2063 16.9816
```